Record 1
# PBE DyMgSb, relaxed
data_DyMgSb
_chemical_formula_sum 'Dy2 Mg2 Sb2'
_space_group_name_H-M_alt 'P m n 21'
_space_group_IT_number 31
_cell_length_a 4.348
_cell_length_b 9.504
_cell_length_c 4.283
_cell_angle_alpha 90.00
_cell_angle_beta 90.00
_cell_angle_gamma 90.00
loop_
_space_group_symop_operation_xyz
'x,y,z'
'-x+1/2,-y,z+1/2'
'-x,y,z'
'x+1/2,-y,z+1/2'
loop_
_atom_site_label
_atom_site_fract_x
_atom_site_fract_y
_atom_site_fract_z
Dy1 0.000 0.171 0.000
Mg1 0.000 0.549 0.994
Sb1 0.000 0.846 0.000
# Density ... 5.8 g cm⁻³
# Raw total energy ... -12.05 eV/f.u.
# E_form (uncorrected) ... -167 kJ/mol of formula units

Record 2
# PBE Dy6Mg5Sb, relaxed
data_Dy6Mg5Sb
_chemical_formula_sum 'Dy12 Mg10 Sb2'
_space_group_name_H-M_alt 'C m m m'
_space_group_IT_number 65
_space_group_name_Hall '-C 2 2'
_cell_length_a 5.375
_cell_length_b 16.155
_cell_length_c 7.405
_cell_angle_alpha 90.00
_cell_angle_beta 90.00
_cell_angle_gamma 90.00
loop_
_atom_site_label
_atom_site_fract_x
_atom_site_fract_y
_atom_site_fract_z
Dy1 0.000 0.000 0.247
Dy2 0.000 0.334 0.253
Mg1 0.000 0.165 0.500
Mg2 0.000 0.175 0.000
Mg3 0.000 0.500 0.500
Sb1 0.000 0.500 0.000
# Density ... 6.3 g cm⁻³
# Raw total energy ... -42.52 eV/f.u.
# E_form (uncorrected) ... -271 kJ/mol of formula units

Record 3
# PBE Dy7Mg4Sc, relaxed
data_Dy7Mg4Sc
_chemical_formula_sum 'Dy14 Mg8 Sc2'
_space_group_name_H-M_alt 'C 1 2/m 1'
_space_group_IT_number 12
_cell_length_a 14.998
_cell_length_b 5.658
_cell_length_c 9.586
_cell_angle_alpha 90.00
_cell_angle_beta 121.60
_cell_angle_gamma 90.00
loop_
_space_group_symop_operation_xyz
'x,y,z'
'-x,-y,-z'
'-x,y,-z'
'x,-y,z'
'x+1/2,y+1/2,z'
'-x+1/2,-y+1/2,-z'
'-x+1/2,y+1/2,-z'
'x+1/2,-y+1/2,z'
loop_
_atom_site_label
_atom_site_fract_x
_atom_site_fract_y
_atom_site_fract_z
Dy1 0.000 0.000 0.000
Dy2 0.080 0.500 0.425
Dy3 0.199 0.500 0.878
Dy4 0.245 0.500 0.281
Mg1 0.043 0.000 0.697
Mg2 0.174 0.000 0.349
Sc1 0.000 0.500 0.000
# Density ... 6.1 g cm⁻³
# Raw total energy ... -42.95 eV/f.u.
# Energy relative to the elements ... 0.165 eV per atom

Record 4
# PBE Dy3MgSc4, relaxed
data_Dy3MgSc4
_chemical_formula_sum 'Dy6 Mg2 Sc8'
_space_group_name_H-M_alt 'P m n 21'
_space_group_IT_number 31
_cell_length_a 10.741
_cell_length_b 6.846
_cell_length_c 5.834
_cell_angle_alpha 90.00
_cell_angle_beta 90.00
_cell_angle_gamma 90.00
loop_
_space_group_symop_operation_xyz
'x,y,z'
'-x+1/2,-y,z+1/2'
'-x,y,z'
'x+1/2,-y,z+1/2'
loop_
_atom_site_label
_atom_site_fract_x
_atom_site_fract_y
_atom_site_fract_z
Dy1 0.000 0.134 0.000
Dy2 0.245 0.131 0.355
Mg1 0.000 0.865 0.505
Sc1 0.000 0.390 0.525
Sc2 0.000 0.616 0.013
Sc3 0.246 0.619 0.354
# Density ... 5.4 g cm⁻³
# Raw total energy ... -40.60 eV/f.u.
# Energy relative to the elements ... 0.016 eV per atom

Record 5
# PBE DyMg14Sc, relaxed
data_DyMg14Sc
_chemical_formula_sum 'Dy1 Mg14 Sc1'
_space_group_name_H-M_alt 'P 4/m m m'
_space_group_IT_number 123
_space_group_name_Hall '-P 4 2'
_cell_length_a 6.894
_cell_length_b 6.894
_cell_length_c 7.870
_cell_angle_alpha 90.00
_cell_angle_beta 90.00
_cell_angle_gamma 90.00
loop_
_atom_site_label
_atom_site_fract_x
_atom_site_fract_y
_atom_site_fract_z
Dy1 0.000 0.000 0.000
Mg1 0.000 0.000 0.500
Mg2 0.000 0.500 0.000
Mg3 0.000 0.500 0.500
Mg4 0.255 0.255 0.256
Mg5 0.500 0.500 0.500
Sc1 0.500 0.500 0.000
# Density ... 2.4 g cm⁻³
# Raw total energy ... -33.54 eV/f.u.
# Energy relative to the elements ... -0.018 eV per atom

Record 6
# PBE DyMg3Sc, relaxed
data_DyMg3Sc
_chemical_formula_sum 'Dy4 Mg12 Sc4'
_space_group_name_H-M_alt 'I m m a'
_space_group_IT_number 74
_space_group_name_Hall '-I 2b 2'
_cell_length_a 5.694
_cell_length_b 7.885
_cell_length_c 11.920
_cell_angle_alpha 90.00
_cell_angle_beta 90.00
_cell_angle_gamma 90.00
loop_
_atom_site_label
_atom_site_fract_x
_atom_site_fract_y
_atom_site_fract_z
Dy1 0.000 0.000 0.000
Mg1 0.000 0.067 0.306
Mg2 0.250 0.250 0.750
Sc1 0.000 0.250 0.528
# Density ... 3.5 g cm⁻³
# Raw total energy ... -14.77 eV/f.u.
# Energy relative to the elements ... 0.189 eV per atom

density of number 5 (DyMg14Sc)? 2.4 g cm⁻³

Look up the density of the first one. 5.8 g cm⁻³

What is the density in the first record? 5.8 g cm⁻³

Copy entry 6 word for word.
# PBE DyMg3Sc, relaxed
data_DyMg3Sc
_chemical_formula_sum 'Dy4 Mg12 Sc4'
_space_group_name_H-M_alt 'I m m a'
_space_group_IT_number 74
_space_group_name_Hall '-I 2b 2'
_cell_length_a 5.694
_cell_length_b 7.885
_cell_length_c 11.920
_cell_angle_alpha 90.00
_cell_angle_beta 90.00
_cell_angle_gamma 90.00
loop_
_atom_site_label
_atom_site_fract_x
_atom_site_fract_y
_atom_site_fract_z
Dy1 0.000 0.000 0.000
Mg1 0.000 0.067 0.306
Mg2 0.250 0.250 0.750
Sc1 0.000 0.250 0.528
# Density ... 3.5 g cm⁻³
# Raw total energy ... -14.77 eV/f.u.
# Energy relative to the elements ... 0.189 eV per atom